No. 1
! NaSnTe2N, PBEsol geometry, DFT meta-GGA SCAN; values from VASP
&SYSTEM
  ibrav = 0, nat = 5, ntyp = 4
/
ATOMIC_SPECIES
Na 22.99 Na.upf
Te 127.60 Te.upf
Sn 118.71 Sn.upf
N 14.01 N.upf
ATOMIC_POSITIONS angstrom
Na -0.710 -3.384 -3.159
Te -0.905 -2.863 0.372
Te 1.675 -0.838 -2.376
Sn 0.000 0.000 0.000
N -1.480 0.318 -1.155
CELL_PARAMETERS angstrom
-2.960 0.635 -2.311
3.350 -1.676 -4.752
-1.810 -5.726 0.744
! ΔE_f (raw) (eV/atom): 0.39
! Calculated total energy (eV per atom): -24.3975

=====

No. 2
! NaSr3N, PBEsol geometry, DFT meta-GGA SCAN; values from VASP
&SYSTEM
  ibrav = 0, nat = 5, ntyp = 3
/
ATOMIC_SPECIES
Sr 87.62 Sr.upf
Na 22.99 Na.upf
N 14.01 N.upf
ATOMIC_POSITIONS angstrom
Sr 0.000 2.691 0.000
Sr 0.000 0.000 2.691
Sr 2.691 0.000 0.000
Na 2.691 2.691 2.691
N 0.000 0.000 0.000
CELL_PARAMETERS angstrom
5.383 0.000 0.000
0.000 5.383 0.000
0.000 0.000 5.383
! ΔE_f (raw) (eV/atom): -0.31
! Calculated total energy (eV per atom): -16.3740

=====

No. 3
! NaSrN, PBEsol geometry, DFT meta-GGA SCAN; values from VASP
&SYSTEM
  ibrav = 0, nat = 6, ntyp = 3
/
ATOMIC_SPECIES
Na 22.99 Na.upf
Sr 87.62 Sr.upf
N 14.01 N.upf
ATOMIC_POSITIONS angstrom
Na 0.000 2.286 2.597
Na 1.980 1.143 7.335
Sr 0.000 0.000 4.667
Sr 0.000 0.000 9.405
N 1.980 1.143 3.683
N 0.000 2.286 8.421
CELL_PARAMETERS angstrom
3.959 0.000 0.000
-1.980 3.429 0.000
0.000 0.000 9.475
! ΔE_f (raw) (eV/atom): -0.21
! Calculated total energy (eV per atom): -12.1392

=====

No. 4
! NaSrN2, PBEsol geometry, DFT meta-GGA SCAN; values from VASP
&SYSTEM
  ibrav = 0, nat = 4, ntyp = 3
/
ATOMIC_SPECIES
Sr 87.62 Sr.upf
N 14.01 N.upf
Na 22.99 Na.upf
ATOMIC_POSITIONS angstrom
Sr 0.000 0.000 0.000
N -6.167 0.987 5.021
N -2.055 0.328 1.675
Na -4.111 0.657 3.348
CELL_PARAMETERS angstrom
-2.436 2.936 2.116
-4.261 -0.722 0.592
-1.526 -0.900 3.988
! ΔE_f (raw) (eV/atom): 0.35
! Calculated total energy (eV per atom): -10.9186

=====

No. 5
! NaTaN3, PBEsol geometry, DFT meta-GGA SCAN; values from VASP
&SYSTEM
  ibrav = 0, nat = 5, ntyp = 3
/
ATOMIC_SPECIES
Na 22.99 Na.upf
N 14.01 N.upf
Ta 180.95 Ta.upf
ATOMIC_POSITIONS angstrom
Na -3.064 0.122 1.758
N -0.876 -1.578 0.951
N -0.386 1.187 1.614
N -1.802 0.514 -0.808
Ta 0.000 0.000 0.000
CELL_PARAMETERS angstrom
-3.604 1.027 -1.616
-1.753 -3.157 1.903
-0.771 2.374 3.229
! ΔE_f (raw) (eV/atom): -0.07
! Calculated total energy (eV per atom): -19.8041

=====

No. 6
! NaTaN3, PBEsol geometry, DFT meta-GGA SCAN; values from VASP
&SYSTEM
  ibrav = 0, nat = 5, ntyp = 3
/
ATOMIC_SPECIES
Na 22.99 Na.upf
N 14.01 N.upf
Ta 180.95 Ta.upf
ATOMIC_POSITIONS angstrom
Na 0.000 0.000 0.000
N 0.000 1.882 0.000
N 0.000 0.000 1.882
N 1.882 0.000 0.000
Ta 1.882 1.882 1.882
CELL_PARAMETERS angstrom
3.763 0.000 0.000
0.000 3.763 0.000
0.000 0.000 3.763
! ΔE_f (raw) (eV/atom): 2.17
! Calculated total energy (eV per atom): -17.5657

=====

No. 7
! NaTaTeN2, PBEsol geometry, DFT meta-GGA SCAN; values from VASP
&SYSTEM
  ibrav = 0, nat = 5, ntyp = 4
/
ATOMIC_SPECIES
Na 22.99 Na.upf
N 14.01 N.upf
Te 127.60 Te.upf
Ta 180.95 Ta.upf
ATOMIC_POSITIONS angstrom
Na 0.000 0.000 0.000
N 0.000 2.061 0.000
N 2.061 0.000 0.000
Te 0.000 0.000 2.584
Ta 2.061 2.061 2.584
CELL_PARAMETERS angstrom
4.121 0.000 0.000
0.000 4.121 0.000
0.000 0.000 5.169
! ΔE_f (raw) (eV/atom): 2.06
! Calculated total energy (eV per atom): -23.2661

=====

No. 8
! NaTc2N2, PBEsol geometry, DFT meta-GGA SCAN; values from VASP
&SYSTEM
  ibrav = 0, nat = 5, ntyp = 3
/
ATOMIC_SPECIES
Na 22.99 Na.upf
Tc 98.00 Tc.upf
N 14.01 N.upf
ATOMIC_POSITIONS angstrom
Na 0.000 0.000 0.000
Tc 2.601 0.653 0.268
Tc 0.816 0.164 2.856
N 2.047 -0.929 1.542
N 1.370 1.746 1.582
CELL_PARAMETERS angstrom
-0.932 2.570 2.786
0.420 -2.781 2.706
3.930 1.028 -2.368
! ΔE_f (raw) (eV/atom): 0.15
! Calculated total energy (eV per atom): -18.4324

=====

No. 9
! NaTcN2, PBEsol geometry, DFT meta-GGA SCAN; values from VASP
&SYSTEM
  ibrav = 0, nat = 8, ntyp = 3
/
ATOMIC_SPECIES
Na 22.99 Na.upf
Tc 98.00 Tc.upf
N 14.01 N.upf
ATOMIC_POSITIONS angstrom
Na 0.000 3.225 1.096
Na 2.536 1.243 2.210
Tc 2.536 4.467 3.306
Tc 0.000 0.000 0.000
N -1.796 6.080 3.854
N 1.796 4.837 1.644
N 1.268 1.353 0.088
N 3.804 3.114 3.219
CELL_PARAMETERS angstrom
5.071 0.000 0.000
-2.536 5.206 -0.018
0.000 2.486 4.421
! ΔE_f (raw) (eV/atom): -0.28
! Calculated total energy (eV per atom): -14.7436

=====

No. 10
! NaTe2N, PBEsol geometry, DFT meta-GGA SCAN; values from VASP
&SYSTEM
  ibrav = 0, nat = 4, ntyp = 3
/
ATOMIC_SPECIES
Na 22.99 Na.upf
Te 127.60 Te.upf
N 14.01 N.upf
ATOMIC_POSITIONS angstrom
Na 5.179 2.990 3.045
Te 7.769 4.485 1.923
Te 2.590 1.495 4.166
N 0.000 0.000 0.000
CELL_PARAMETERS angstrom
5.179 0.000 0.000
2.590 4.485 0.000
2.590 1.495 6.089
! ΔE_f (raw) (eV/atom): 0.43
! Calculated total energy (eV per atom): -21.5683

=====

No. 11
! NaZnTe2N, PBEsol geometry, DFT meta-GGA SCAN; values from VASP
&SYSTEM
  ibrav = 0, nat = 5, ntyp = 4
/
ATOMIC_SPECIES
Na 22.99 Na.upf
Zn 65.41 Zn.upf
Te 127.60 Te.upf
N 14.01 N.upf
ATOMIC_POSITIONS angstrom
Na -0.931 -4.188 1.140
Zn 0.000 0.000 0.000
Te 1.748 -2.235 0.500
Te -2.020 -1.801 -0.987
N -0.660 -0.152 1.628
CELL_PARAMETERS angstrom
-1.320 -0.305 3.255
-4.040 -3.603 -1.975
3.497 -4.469 0.999
! ΔE_f (raw) (eV/atom): 0.32
! Calculated total energy (eV per atom): -19.9886

=====

No. 12
! NaZrTe2N, PBEsol geometry, DFT meta-GGA SCAN; values from VASP
&SYSTEM
  ibrav = 0, nat = 5, ntyp = 4
/
ATOMIC_SPECIES
Na 22.99 Na.upf
Te 127.60 Te.upf
Zr 91.22 Zr.upf
N 14.01 N.upf
ATOMIC_POSITIONS angstrom
Na 0.000 0.000 0.000
Te 0.000 0.000 2.677
Te 0.000 2.677 0.000
Zr 2.008 2.677 2.677
N 2.008 0.000 0.000
CELL_PARAMETERS angstrom
4.016 0.000 0.000
0.000 5.353 0.000
0.000 0.000 5.353
! ΔE_f (raw) (eV/atom): 0.81
! Calculated total energy (eV per atom): -22.9340

=====

No. 13
! Na2TlN, PBEsol geometry, DFT meta-GGA SCAN; values from VASP
&SYSTEM
  ibrav = 0, nat = 8, ntyp = 3
/
ATOMIC_SPECIES
Na 22.99 Na.upf
Tl 204.38 Tl.upf
N 14.01 N.upf
ATOMIC_POSITIONS angstrom
Na 1.401 0.000 5.089
Na -1.401 0.000 5.089
Na 2.803 4.204 1.696
Na 2.803 1.401 1.696
Tl 0.000 0.000 0.000
Tl 0.000 2.803 3.392
N 2.803 2.803 0.000
N 2.803 0.000 3.392
CELL_PARAMETERS angstrom
5.605 0.000 0.000
0.000 5.605 0.000
-2.803 -2.803 6.785
! ΔE_f (raw) (eV/atom): 0.68
! Calculated total energy (eV per atom): -21.8411

=====

No. 14
! NaYW2N, PBEsol geometry, DFT meta-GGA SCAN; values from VASP
&SYSTEM
  ibrav = 0, nat = 5, ntyp = 4
/
ATOMIC_SPECIES
Y 88.91 Y.upf
Na 22.99 Na.upf
W 183.84 W.upf
N 14.01 N.upf
ATOMIC_POSITIONS angstrom
Y -1.053 -2.131 0.686
Na -3.597 -0.786 0.958
W -1.575 0.378 -1.246
W -0.968 0.967 1.518
N 0.000 0.000 0.000
CELL_PARAMETERS angstrom
-1.936 1.934 3.036
-3.151 0.756 -2.491
-2.107 -4.262 1.371
! ΔE_f (raw) (eV/atom): 0.19
! Calculated total energy (eV per atom): -35.9575

=====

No. 15
! NaY3N, PBEsol geometry, DFT meta-GGA SCAN; values from VASP
&SYSTEM
  ibrav = 0, nat = 5, ntyp = 3
/
ATOMIC_SPECIES
Y 88.91 Y.upf
Na 22.99 Na.upf
N 14.01 N.upf
ATOMIC_POSITIONS angstrom
Y 0.000 2.634 0.000
Y 0.000 0.000 2.634
Y 2.634 0.000 0.000
Na 0.000 0.000 0.000
N 2.634 2.634 2.634
CELL_PARAMETERS angstrom
5.268 0.000 0.000
0.000 5.268 0.000
0.000 0.000 5.268
! ΔE_f (raw) (eV/atom): 1.91
! Calculated total energy (eV per atom): -17.5011

=====

No. 16
! Na2ZnN2, PBEsol geometry, DFT meta-GGA SCAN; values from VASP
&SYSTEM
  ibrav = 0, nat = 10, ntyp = 3
/
ATOMIC_SPECIES
Na 22.99 Na.upf
Zn 65.41 Zn.upf
N 14.01 N.upf
ATOMIC_POSITIONS angstrom
Na 1.430 2.191 6.232
Na 1.430 6.232 5.889
Na 1.430 5.889 1.849
Na 1.430 1.849 2.191
Zn 0.000 0.000 0.000
Zn 0.000 4.040 4.040
N 0.000 3.632 7.672
N 0.000 7.672 4.449
N 0.000 4.449 0.409
N 0.000 0.409 3.632
CELL_PARAMETERS angstrom
2.859 0.000 0.000
0.000 8.080 0.000
0.000 0.000 8.080
! ΔE_f (raw) (eV/atom): 0.11
! Calculated total energy (eV per atom): -7.9934

=====

No. 17
! Nb4N5, PBEsol geometry, DFT meta-GGA SCAN; values from VASP
&SYSTEM
  ibrav = 0, nat = 9, ntyp = 2
/
ATOMIC_SPECIES
Nb 92.91 Nb.upf
N 14.01 N.upf
ATOMIC_POSITIONS angstrom
Nb 2.145 0.876 1.894
Nb 4.289 1.894 3.983
Nb 4.289 2.965 0.876
Nb 6.434 3.983 2.965
N 2.145 0.000 0.000
N 4.289 3.824 2.930
N 2.145 2.930 1.034
N 6.434 1.929 3.824
N 4.289 1.034 1.929
CELL_PARAMETERS angstrom
4.289 0.000 0.000
2.145 4.858 0.000
2.145 0.000 4.858
! ΔE_f (raw) (eV/atom): -1.11
! Calculated total energy (eV per atom): -20.9925

=====

No. 18
! Nb3N5, PBEsol geometry, DFT meta-GGA SCAN; values from VASP
&SYSTEM
  ibrav = 0, nat = 16, ntyp = 2
/
ATOMIC_SPECIES
Nb 92.91 Nb.upf
N 14.01 N.upf
ATOMIC_POSITIONS angstrom
Nb 0.000 1.355 5.756
Nb 0.000 1.355 9.696
Nb 0.000 2.104 2.575
Nb 1.948 3.056 7.726
Nb 1.948 3.805 4.545
Nb 1.948 3.805 0.605
N 0.000 3.192 0.755
N 0.000 0.486 3.902
N 0.000 0.486 1.248
N 0.000 3.192 4.396
N 0.000 2.415 7.726
N 1.948 4.674 6.399
N 1.948 1.968 9.546
N 1.948 1.968 5.905
N 1.948 2.745 2.575
N 1.948 4.674 9.053
CELL_PARAMETERS angstrom
3.896 0.000 0.000
-1.948 5.160 0.000
0.000 0.000 10.301
! ΔE_f (raw) (eV/atom): -0.94
! Calculated total energy (eV per atom): -19.1756

=====

No. 19
! NbNiN2O, PBEsol geometry, DFT meta-GGA SCAN; values from VASP
&SYSTEM
  ibrav = 0, nat = 5, ntyp = 4
/
ATOMIC_SPECIES
Ni 58.69 Ni.upf
Nb 92.91 Nb.upf
O 16.00 O.upf
N 14.01 N.upf
ATOMIC_POSITIONS angstrom
Ni 1.653 0.000 0.000
Nb 1.653 1.917 1.917
O 0.000 0.000 0.000
N 0.000 0.000 1.917
N 0.000 1.917 0.000
CELL_PARAMETERS angstrom
3.306 0.000 0.000
0.000 3.833 0.000
0.000 0.000 3.833
! ΔE_f (raw) (eV/atom): 1.00
! Calculated total energy (eV per atom): -13.8228

=====

No. 20
! SrNbNi2N, PBEsol geometry, DFT meta-GGA SCAN; values from VASP
&SYSTEM
  ibrav = 0, nat = 5, ntyp = 4
/
ATOMIC_SPECIES
Sr 87.62 Sr.upf
Nb 92.91 Nb.upf
N 14.01 N.upf
Ni 58.69 Ni.upf
ATOMIC_POSITIONS angstrom
Sr -1.203 1.756 2.358
Nb 0.000 0.000 0.000
N 0.251 -0.009 4.415
Ni 1.951 0.046 0.961
Ni -0.497 -1.812 1.096
CELL_PARAMETERS angstrom
-0.994 -3.623 2.192
3.902 0.093 1.921
-2.405 3.513 4.715
! ΔE_f (raw) (eV/atom): 1.81
! Calculated total energy (eV per atom): -17.6011